# VGa2Co4 (GGA-PBE, relaxed)
data_VGa2Co4
_symmetry_space_group_name_H-M 'P 1'
_symmetry_Int_Tables_number 1
_symmetry_space_group_name_Hall 'P 1'
_cell_length_a 6.722
_cell_length_b 6.722
_cell_length_c 6.722
_cell_angle_alpha 143.87
_cell_angle_beta 143.87
_cell_angle_gamma 52.02
loop_
_atom_site_label
_atom_site_fract_x
_atom_site_fract_y
_atom_site_fract_z
_atom_site_occupancy
V1 0.000 0.000 0.000 1
Ga1 0.375 0.375 0.000 1
Ga2 0.625 0.625 0.000 1
Co1 0.000 0.500 0.500 1
Co2 0.177 0.177 0.000 1
Co3 0.500 0.000 0.500 1
Co4 0.823 0.823 0.000 1
# Space group: No. 139
# DOS at the Fermi energy in states/eV/atom: 0.706
# ρ in g/cm3: 6.7
# Raw total energy in eV per formula unit: -38.6
# Formation energy from the elements in eV per atom: 0.72